Record 1
The following is a GGA-PBE calculation of a relaxed structure of YPuBiO6, from the Alexandria database.

Structure (extended XYZ):
```
18
Lattice="-5.788 0.286 -0.216 3.021 -1.273 -4.784 -0.540 -9.311 2.136" Properties=species:S:1:pos:R:3 pbc="T T T"
Y -0.050 -3.081 -2.727
Y -3.257 -7.217 -0.137
O -1.321 -8.420 0.033
O -3.951 -3.242 0.509
O 1.381 -8.889 -1.327
O 0.644 -7.056 -3.373
O -2.023 -6.575 -1.950
O -1.285 -3.723 -0.914
O -1.207 -9.110 -2.947
O 0.603 -6.369 -0.390
O -2.100 -1.188 0.083
O -3.910 -3.928 -2.473
O -1.986 -1.878 -2.897
O -4.688 -1.409 -1.536
Bi -0.270 -4.656 1.068
Bi 0.000 0.000 0.000
Pu -0.320 -7.736 -1.659
Pu -2.987 -2.561 -1.205
```

The calculation puts the uncorrected formation energy at -2093 kJ/mol of formula units. The calculation puts the raw total energy at -8.457 eV/atom.

Record 2
The following is a GGA-PBE calculation of a relaxed structure of PuZn2BiO8, from the Alexandria database.

Structure (extended XYZ):
```
12
Lattice="-2.175 4.137 3.605 2.890 -3.779 3.494 3.573 2.343 -4.072" Properties=species:S:1:pos:R:3 pbc="T T T"
O 2.496 2.735 -1.864
O 0.476 2.090 0.124
O 3.798 1.304 1.027
O 0.978 4.417 -0.044
O -0.132 3.663 3.146
O 1.498 -0.181 1.978
O 2.189 3.147 2.939
O 0.782 1.543 4.913
Zn 0.878 3.329 1.541
Zn 0.357 0.179 3.550
Pu 3.410 -0.629 1.486
Bi 0.000 0.000 0.000
```

The calculation puts the uncorrected formation energy at -1572 kJ/mol of formula units. The calculation puts the raw total energy at -6.393 eV/atom.

Record 3
The following is a GGA-PBE calculation of a relaxed structure of PuZrBiO6, from the Alexandria database.

Structure (extended XYZ):
```
18
Lattice="-1.319 5.527 0.070 -1.420 -3.316 4.392 8.529 1.981 4.253" Properties=species:S:1:pos:R:3 pbc="T T T"
Zr 0.746 0.127 4.014
Zr 5.044 4.065 4.700
O 4.964 3.222 2.742
O 3.668 2.696 5.586
O 2.174 -1.415 4.380
O 0.664 -0.898 2.146
O -0.596 1.692 3.466
O 5.126 5.091 6.569
O -0.713 -1.082 4.993
O 3.616 5.607 4.335
O 0.826 0.970 5.972
O 6.386 2.500 5.248
O 6.504 5.275 3.721
O 2.122 1.496 3.129
Pu 5.010 1.118 6.141
Pu 0.780 3.075 2.574
Bi 4.264 0.990 2.127
Bi 0.000 0.000 0.000
```

The calculation puts the uncorrected formation energy at -2136 kJ/mol of formula units. The calculation puts the raw total energy at -8.739 eV/atom.

Record 4
The following is a GGA-PBE calculation of a relaxed structure of RbBiO3, from the Alexandria database.

Structure (extended XYZ):
```
5
Lattice="4.333 0.000 0.000 0.000 4.333 0.000 0.000 0.000 4.333" Properties=species:S:1:pos:R:3 pbc="T T T"
O 2.167 0.000 1.096
O 0.000 0.000 3.261
O 0.000 2.167 1.096
Bi 0.000 0.000 1.095
Rb 2.167 2.167 3.262
```

The calculation puts the uncorrected formation energy at -496 kJ/mol of formula units. The calculation puts the raw total energy at -4.973 eV/atom.

Record 5
The following is a GGA-PBE calculation of a relaxed structure of RbBiO2, from the Alexandria database.

Structure (extended XYZ):
```
4
Lattice="-1.932 3.749 6.562 -0.647 0.561 7.753 1.655 3.245 6.897" Properties=species:S:1:pos:R:3 pbc="T T T"
Bi -0.462 3.778 10.606
Rb 0.000 0.000 0.000
O -0.819 6.703 18.821
O -0.104 0.852 2.391
```

The calculation puts the uncorrected formation energy at -386 kJ/mol of formula units. The calculation puts the raw total energy at -4.691 eV/atom.

Record 6
The following is a GGA-PBE calculation of a relaxed structure of RbBiO2, from the Alexandria database.

Structure (extended XYZ):
```
4
Lattice="3.168 0.000 0.000 0.000 3.168 0.000 0.000 0.000 6.826" Properties=species:S:1:pos:R:3 pbc="T T T"
Rb 1.584 1.584 3.413
O 0.000 0.000 5.475
O 0.000 0.000 1.351
Bi 1.584 1.584 0.000
```

The calculation puts the uncorrected formation energy at -348 kJ/mol of formula units. The calculation puts the raw total energy at -4.592 eV/atom.

Record 7
The following is a GGA-PBE calculation of a relaxed structure of Rb3BiO3, from the Alexandria database.

Structure (extended XYZ):
```
14
Lattice="6.979 -0.014 -0.657 -2.210 6.620 -0.657 -0.169 -0.233 7.881" Properties=species:S:1:pos:R:3 pbc="T T T"
O 0.309 3.153 5.006
O 0.024 0.034 5.963
O 4.291 3.220 1.560
O 1.705 5.087 1.560
O 4.576 6.339 0.604
O 2.895 1.286 5.006
Bi 1.251 1.733 6.219
Bi 3.349 4.640 0.348
Rb 5.141 1.313 -0.657
Rb -0.535 5.233 3.283
Rb 5.136 1.139 3.283
Rb 3.172 4.394 4.113
Rb -0.372 5.293 -0.657
Rb 1.428 1.979 2.454
```

The calculation puts the uncorrected formation energy at -877 kJ/mol of formula units. As for the energy above the most stable polymorph in this dataset: 0.20 eV/f.u. The calculation puts the raw total energy at -4.392 eV/atom.

Record 8
The following is a GGA-PBE calculation of a relaxed structure of RbBiO3, from the Alexandria database.

Structure (extended XYZ):
```
10
Lattice="-2.280 3.527 0.657 -3.430 -1.877 -1.825 -0.220 -4.623 10.269" Properties=species:S:1:pos:R:3 pbc="T T T"
O -4.804 -3.164 7.181
O -2.346 -1.310 5.757
O -2.770 1.334 3.833
O -3.160 -4.307 5.268
O -3.583 -1.663 3.344
O -1.126 0.191 1.920
Bi -1.711 -0.530 3.760
Bi -4.219 -2.443 5.341
Rb -2.014 -4.070 7.971
Rb -3.916 1.097 1.130
```

The calculation puts the uncorrected formation energy at -473 kJ/mol of formula units. The calculation puts the raw total energy at -4.925 eV/atom.

Record 9
The following is a GGA-PBE calculation of a relaxed structure of Rb8BiO2, from the Alexandria database.

Structure (extended XYZ):
```
11
Lattice="0.293 -4.275 -3.995 3.354 -13.419 6.216 -4.389 -7.861 3.895" Properties=species:S:1:pos:R:3 pbc="T T T"
O -0.654 -14.180 6.736
O -0.382 -7.100 3.375
Rb -0.500 -9.288 1.412
Rb -2.795 -6.320 2.357
Rb 0.985 -12.630 5.192
Rb 2.053 -19.235 3.759
Rb -1.728 -12.925 0.924
Rb -0.243 -16.267 4.704
Rb 1.284 -5.534 1.800
Rb 2.363 -12.160 0.421
Bi 0.146 -2.137 -1.998
```

The calculation puts the uncorrected formation energy at -646 kJ/mol of formula units. As for the energy above the most stable polymorph in this dataset: 0.00 eV/f.u. The calculation puts the raw total energy at -2.567 eV/atom.

Record 10
The following is a GGA-PBE calculation of a relaxed structure of RbBiO3, from the Alexandria database.

Structure (extended XYZ):
```
20
Lattice="2.348 0.552 7.647 -0.065 7.108 3.711 -5.389 1.471 5.752" Properties=species:S:1:pos:R:3 pbc="T T T"
O -3.851 5.621 11.722
O -0.809 8.075 13.944
O -2.920 5.840 14.754
O -0.006 2.974 8.195
O -0.963 5.574 6.635
O -1.739 7.856 10.912
O -0.032 5.792 9.667
O -3.876 8.439 13.193
O -3.074 3.339 7.444
O -0.783 5.257 12.473
O -3.100 6.157 8.915
O -2.143 3.557 10.476
Bi -1.909 2.153 8.839
Bi -3.115 5.431 6.871
Bi -1.941 5.707 10.694
Bi 0.753 4.971 7.818
Rb -3.083 1.877 5.015
Rb -0.388 1.141 2.139
Rb -0.421 4.695 3.994
Rb 0.786 1.417 5.963
```

The calculation puts the uncorrected formation energy at -533 kJ/mol of formula units. The calculation puts the raw total energy at -5.049 eV/atom.

Record 11
The following is a GGA-PBE calculation of a relaxed structure of Rb3BiO4, from the Alexandria database.

Structure (extended XYZ):
```
8
Lattice="6.726 -0.006 0.035 -3.318 5.851 -0.035 -2.940 -2.202 5.635" Properties=species:S:1:pos:R:3 pbc="T T T"
O -1.339 0.781 2.666
O -2.844 3.610 1.954
O 2.184 0.692 1.989
O -3.692 2.153 4.771
Rb 0.090 3.864 1.646
Rb 0.270 -0.158 0.405
Rb 0.547 -0.319 4.241
Bi -3.093 1.804 2.853
```

The calculation puts the uncorrected formation energy at -915 kJ/mol of formula units. As for the energy above the most stable polymorph in this dataset: 0.40 eV/f.u. The calculation puts the raw total energy at -4.513 eV/atom.

Record 12
The following is a GGA-PBE calculation of a relaxed structure of RbBiO3, from the Alexandria database.

Structure (extended XYZ):
```
10
Lattice="-1.999 3.115 -0.949 -2.663 -0.923 2.580 4.522 8.453 10.522" Properties=species:S:1:pos:R:3 pbc="T T T"
O -0.232 6.948 7.906
O 2.482 6.863 9.601
O 0.091 3.696 4.247
O -2.068 1.346 4.006
O -2.828 2.530 3.645
O 1.469 6.511 10.582
Bi 1.723 8.078 7.499
Bi -1.532 4.585 2.890
Rb 0.000 0.000 0.000
Rb -0.236 4.313 6.959
```

The calculation puts the uncorrected formation energy at -401 kJ/mol of formula units. The calculation puts the raw total energy at -4.775 eV/atom.

Record 13
The following is a GGA-PBE calculation of a relaxed structure of RbBiO3, from the Alexandria database.

Structure (extended XYZ):
```
20
Lattice="-7.203 4.186 0.427 -1.750 -2.454 -5.473 -4.014 -7.375 4.590" Properties=species:S:1:pos:R:3 pbc="T T T"
O -6.788 -0.912 2.580
O -7.663 -2.139 -0.157
O -6.179 -4.730 -3.036
O -6.066 -7.914 1.921
O -2.422 -3.855 -2.847
O -5.191 -6.687 4.658
O -5.304 -3.503 -0.300
O -10.546 -1.787 2.390
O -7.776 1.045 -5.115
O -5.831 -1.409 -2.853
O -7.136 -4.233 2.397
O -6.901 2.272 -2.378
Rb -2.882 -4.914 -0.442
Rb -3.601 2.093 0.213
Rb -2.007 -3.687 2.295
Rb -4.477 0.866 -2.523
Bi -6.653 -2.937 -1.905
Bi -11.383 -3.306 3.339
Bi -1.584 -2.336 -3.796
Bi -6.315 -2.705 1.449
```

The calculation puts the uncorrected formation energy at -443 kJ/mol of formula units. The calculation puts the raw total energy at -4.863 eV/atom.

Record 14
The following is a GGA-PBE calculation of a relaxed structure of RbBiO3, from the Alexandria database.

Structure (extended XYZ):
```
5
Lattice="-4.069 -0.871 1.311 1.509 -1.128 3.935 -0.447 4.123 1.353" Properties=species:S:1:pos:R:3 pbc="T T T"
O -2.034 -0.435 0.655
O -0.223 2.062 0.676
O 0.754 -0.564 1.967
Rb 0.000 0.000 0.000
Bi -1.503 1.062 3.299
```

The calculation puts the uncorrected formation energy at 292 kJ/mol of formula units. The calculation puts the raw total energy at -3.339 eV/atom.

Record 15
The following is a GGA-PBE calculation of a relaxed structure of RbBiO3, from the Alexandria database.

Structure (extended XYZ):
```
5
Lattice="3.251 0.000 0.000 0.000 3.806 -6.011 0.000 3.806 6.011" Properties=species:S:1:pos:R:3 pbc="T T T"
O 1.625 5.169 0.561
O 1.625 2.442 0.561
O 0.000 3.806 3.086
Rb 1.625 3.806 5.164
Bi 0.000 3.806 1.111
```

The calculation puts the uncorrected formation energy at -423 kJ/mol of formula units. The calculation puts the raw total energy at -4.821 eV/atom.

Record 16
The following is a GGA-PBE calculation of a relaxed structure of RbBiO2, from the Alexandria database.

Structure (extended XYZ):
```
8
Lattice="-2.107 1.813 -2.235 2.705 -3.288 -5.216 -4.757 -4.823 0.573" Properties=species:S:1:pos:R:3 pbc="T T T"
Bi -3.268 -4.355 -3.296
Bi -0.891 -1.943 -3.581
O 0.907 -1.478 -4.899
O -5.066 -4.820 -1.979
O -2.689 -2.410 -2.265
O -1.470 -3.888 -4.612
Rb -3.567 -3.618 0.429
Rb 1.515 -4.493 -5.071
```

The calculation puts the uncorrected formation energy at -395 kJ/mol of formula units. The calculation puts the raw total energy at -4.715 eV/atom.

Record 17
The following is a GGA-PBE calculation of a relaxed structure of RbBiO3, from the Alexandria database.

Structure (extended XYZ):
```
10
Lattice="4.346 0.000 0.000 0.000 9.046 -0.077 0.000 0.118 5.443" Properties=species:S:1:pos:R:3 pbc="T T T"
O 1.056 2.842 1.650
O 3.230 3.693 4.744
O 3.230 0.243 2.124
O 1.056 1.161 4.393
O 1.057 6.398 3.884
O 1.058 6.110 5.183
Rb 3.230 8.332 4.840
Rb 3.230 4.828 2.090
Bi 1.057 0.773 2.268
Bi 1.057 3.263 4.935
```

The calculation puts the uncorrected formation energy at -508 kJ/mol of formula units. The calculation puts the raw total energy at -4.999 eV/atom.

Record 18
The following is a GGA-PBE calculation of a relaxed structure of RbBiO3, from the Alexandria database.

Structure (extended XYZ):
```
20
Lattice="13.645 0.000 -1.930 6.030 4.996 -3.764 -6.030 4.996 3.764" Properties=species:S:1:pos:R:3 pbc="T T T"
O 11.652 0.442 -1.656
O 2.000 2.582 -0.950
O 1.993 9.551 -0.274
O 8.816 5.438 -1.238
O 4.823 7.578 -0.015
O 11.646 7.411 -0.980
O 4.584 0.527 -0.418
O 11.406 4.469 -1.383
O 9.062 9.466 -1.512
O 2.239 5.523 -0.547
O 4.829 4.554 -0.691
O 8.822 2.415 -1.915
Bi 3.924 5.824 0.823
Bi 9.721 4.169 -2.753
Bi -3.131 5.824 1.977
Bi 16.776 4.169 -3.907
Rb 6.426 6.501 -2.365
Rb 7.219 3.492 0.435
Rb 0.397 6.126 1.400
Rb 13.249 3.867 -3.330
```

The calculation puts the uncorrected formation energy at -537 kJ/mol of formula units. The calculation puts the raw total energy at -5.057 eV/atom.

Record 19
The following is a GGA-PBE calculation of a relaxed structure of Rb8Bi2O, from the Alexandria database.

Structure (extended XYZ):
```
11
Lattice="6.420 0.000 0.000 0.000 7.741 -0.251 -3.210 -3.582 10.186" Properties=species:S:1:pos:R:3 pbc="T T T"
Rb 0.000 5.944 -0.122
Rb 3.210 2.085 1.806
Rb 0.000 -2.074 7.760
Rb 0.000 0.301 4.616
Rb 3.210 6.233 2.176
Rb 3.210 -1.786 10.058
Rb 0.000 2.074 8.130
Rb 3.210 3.857 5.319
Bi 3.210 0.162 6.897
Bi 0.000 3.997 3.038
O 3.210 0.000 0.000
```

The calculation puts the uncorrected formation energy at -465 kJ/mol of formula units. The calculation puts the raw total energy at -2.298 eV/atom.

Record 20
The following is a GGA-PBE calculation of a relaxed structure of RbBiO3, from the Alexandria database.

Structure (extended XYZ):
```
10
Lattice="3.398 -1.962 0.000 0.000 3.923 0.000 0.000 0.000 15.027" Properties=species:S:1:pos:R:3 pbc="T T T"
O 2.265 0.000 0.794
O 2.265 0.000 6.720
O 1.133 1.962 14.234
O 0.000 0.000 3.757
O 1.133 1.962 8.307
O 0.000 0.000 11.270
Bi 0.000 0.000 7.514
Bi 0.000 0.000 0.000
Rb 1.133 1.962 11.270
Rb 2.265 0.000 3.757
```

The calculation puts the uncorrected formation energy at -191 kJ/mol of formula units. The calculation puts the raw total energy at -4.341 eV/atom.

Record 21
The following is a GGA-PBE calculation of a relaxed structure of Rb8BiO2, from the Alexandria database.

Structure (extended XYZ):
```
11
Lattice="4.701 0.285 -0.194 -0.823 9.900 -6.996 0.664 -1.695 12.014" Properties=species:S:1:pos:R:3 pbc="T T T"
Rb 0.093 3.074 -1.268
Rb 4.450 5.417 6.092
Rb 3.465 3.288 1.735
Rb 2.524 2.273 5.645
Rb 1.077 5.202 3.089
Rb 0.448 0.298 3.282
Rb 4.094 8.192 1.542
Rb 2.018 6.217 -0.821
Bi 2.351 0.142 -0.097
O -0.228 5.257 0.617
O 0.068 2.949 4.400
```

The calculation puts the uncorrected formation energy at -578 kJ/mol of formula units. As for the energy above the most stable polymorph in this dataset: 0.71 eV/f.u. The calculation puts the raw total energy at -2.502 eV/atom.